1.
The following is a DFT calculation (PBE with a Hubbard U) of a relaxed Ca2NbCrO6 crystal.

Computed properties:
calculated total energy	-7.84	eV per atom

Unit cell a=5.4685 b=5.6045 c=9.5148 alpha=90.00 beta=124.88 gamma=90.00
Closest atoms and distances in Å follow each position.
Space group P2_1/c (No. 14)
Inequivalent atoms, fractional coordinates:
1 Ca 0.2369 0.0484 0.2482 x4  6 O 2.35-2.63
2 Nb 0.5000 0.0000 0.0000 x2  6 O 2.01-2.02
3 Cr 0.0000 0.0000 0.5000 x2  6 O 2.02-2.03
4 O 0.1597 0.2052 0.9552 x4  1 Nb 2.01, 1 Cr 2.02
5 O 0.2481 0.7074 0.9520 x4  1 Nb 2.02, 1 Cr 2.03
6 O 0.3390 0.0265 0.7503 x4  1 Nb 2.01, 1 Cr 2.02

=====

2.
The following is a DFT calculation (PBE with a Hubbard U) of a relaxed Ca2NbCrO6 crystal.

Computed properties:
calculated total energy	-7.72	eV per atom

Unit cell a=5.5681 b=5.5681 c=4.0759 alpha=90.00 beta=90.00 gamma=90.00
Closest atoms and distances in Å follow each position.
Space group P4mm (No. 99)
Inequivalent atoms, fractional coordinates:
1 Ca 0.0000 0.5000 0.0000 x2  6 O 2.51-2.81
2 Nb 0.0000 0.0000 0.5594 x1  5 O 1.91-1.97
3 Cr 0.5000 0.5000 0.5958 x1  6 O 1.98-2.05
4 O 0.0000 0.0000 0.0910 x1  1 Nb 1.91
5 O 0.2482 0.2482 0.6178 x4  1 Nb 1.97, 1 Cr 1.98
6 O 0.5000 0.5000 0.0994 x1  2 Cr 2.02-2.05

=====

3.
The following is a DFT calculation (PBE with a Hubbard U) of a relaxed SrCaNbCrO6 crystal.

Computed properties:
calculated total energy	-7.79	eV per atom

Unit cell a=5.5736 b=5.6316 c=9.6660 alpha=90.00 beta=125.15 gamma=90.00
Closest atoms and distances in Å follow each position.
Space group Pc (No. 7)
Inequivalent atoms, fractional coordinates:
1 Sr 0.0000 0.2250 0.0000 x2  7 O 2.50-2.78
2 Ca 0.5166 0.2922 0.5023 x2  6 O 2.41-2.65
3 Nb 0.2546 0.2484 0.7499 x2  6 O 2.01-2.02
4 Cr 0.7554 0.2487 0.2507 x2  6 O 2.01-2.04
5 O 0.0873 0.2376 0.5009 x2  1 Nb 2.02, 1 Cr 2.03
6 O 0.4455 0.2706 0.9999 x2  1 Nb 2.01, 1 Cr 2.01
7 O 0.5040 0.0391 0.2919 x2  1 Nb 2.02, 1 Cr 2.04
8 O 0.5648 0.4719 0.7822 x2  1 Nb 2.01, 1 Cr 2.02
9 O 0.9247 0.0408 0.7101 x2  1 Nb 2.02, 1 Cr 2.03
10 O 0.9979 0.4733 0.2159 x2  1 Cr 2.02, 1 Nb 2.02

=====

What did the first record say?
The following is a DFT calculation (PBE with a Hubbard U) of a relaxed Ca2NbCrO6 crystal.

Computed properties:
calculated total energy	-7.84	eV per atom

Unit cell a=5.4685 b=5.6045 c=9.5148 alpha=90.00 beta=124.88 gamma=90.00
Closest atoms and distances in Å follow each position.
Space group P2_1/c (No. 14)
Inequivalent atoms, fractional coordinates:
1 Ca 0.2369 0.0484 0.2482 x4  6 O 2.35-2.63
2 Nb 0.5000 0.0000 0.0000 x2  6 O 2.01-2.02
3 Cr 0.0000 0.0000 0.5000 x2  6 O 2.02-2.03
4 O 0.1597 0.2052 0.9552 x4  1 Nb 2.01, 1 Cr 2.02
5 O 0.2481 0.7074 0.9520 x4  1 Nb 2.02, 1 Cr 2.03
6 O 0.3390 0.0265 0.7503 x4  1 Nb 2.01, 1 Cr 2.02

=====

- What is the calculated total energy in the first record?
  -7.84 eV per atom

=====

- Which of these has the lowest calculated total energy?
  number 1

=====

- Which of these has the lowest calculated total energy?
  number 1